# 1
La2SbRu2 | PBE-GGA | optimized geometry

The structure in POSCAR format:
```
La2SbRu2
1.0
-1.871 1.871 9.003
1.871 -1.871 9.003
1.871 1.871 -9.003
La Sb Ru
2 1 2
direct
0.117 0.117 0.000 La
0.883 0.883 0.000 La
0.500 0.500 0.000 Sb
0.250 0.750 0.500 Ru
0.750 0.250 0.500 Ru
```

Values from the calculation:
Mass density = 7.92 Mg/m³
Excess energy over the best structure of this formula in the dataset = 203 meV/atom
Total DFT energy (no corrections) = -6.734 eV/atom
Density of states at the Fermi level = 6.47 states/eV/cell
Symmetry = No. 139

# 2
La3SbRu | PBE-GGA | optimized geometry

The structure in POSCAR format:
```
La3SbRu
1.0
5.440 0.000 0.000
0.000 5.440 0.000
0.000 0.000 5.440
La Sb Ru
3 1 1
direct
0.000 0.000 0.500 La
0.000 0.500 0.000 La
0.500 0.000 0.000 La
0.500 0.500 0.500 Sb
0.000 0.000 0.000 Ru
```

Values from the calculation:
Mass density = 6.60 Mg/m³
Excess energy over the best structure of this formula in the dataset = 157 meV/atom
Total DFT energy (no corrections) = -6.196 eV/atom
Density of states at the Fermi level = 5.69 states/eV/cell
Symmetry = No. 221